1.
Below is crystalline BaAlGa2Ge at its relaxed geometry, with properties calculated at the PBE level.

abc: 4.6057 4.7415 6.2823
angles: 112.17 111.50 90.00
Fractional coordinates of all 5 atoms:
Ge 0.8200 0.8200 0.6400
Ga 0.0697 0.0697 0.1394
Ga 0.6921 0.1921 0.3841
Ba 0.4402 0.4402 0.8803
Al 0.1902 0.6902 0.3804

Results
symmetry	Imm2 (44)
DFT formation energy	-1.80	eV/f.u.
DOS at the Fermi energy	1.7	states/eV/cell



2.
Below is crystalline PrMg6Cd4 at its relaxed geometry, with properties calculated at the PBE level.

abc: 4.6353 8.0584 8.0584
angles: 120.00 90.00 90.00
Fractional coordinates of all 11 atoms:
Cd 0.5000 0.7993 0.5986
Cd 0.5000 0.4014 0.2007
Cd 0.0000 0.3333 0.6667
Cd 0.5000 0.7993 0.2007
Mg 0.5000 0.5942 0.7971
Mg 0.0000 0.5338 0.4662
Mg 0.5000 0.2029 0.7971
Mg 0.0000 0.5338 0.0676
Mg 0.0000 0.9324 0.4662
Mg 0.5000 0.2029 0.4058
Pr 0.0000 0.0000 0.0000

Results
symmetry	P-6m2 (187)
DFT formation energy	-1.53	eV/f.u.
DOS at the Fermi energy	5.6	states/eV/cell